[1]
# PBE KSr2TlO4, optimized geometry
data_KSr2TlO4
_symmetry_space_group_name_H-M 'I m m a'
_symmetry_Int_Tables_number 74
_symmetry_space_group_name_Hall '-I 2b 2'
_cell_length_a 7.374
_cell_length_b 7.494
_cell_length_c 10.063
_cell_angle_alpha 90.00
_cell_angle_beta 90.00
_cell_angle_gamma 90.00
loop_
_atom_site_label
_atom_site_type_symbol
_atom_site_fract_x
_atom_site_fract_y
_atom_site_fract_z
K1 K 0.250 0.250 0.250
Sr1 Sr 0.000 0.000 0.000
Sr2 Sr 0.250 0.250 0.750
Tl1 Tl 0.000 0.000 0.500
O1 O 0.000 0.019 0.717
O2 O 0.232 0.250 0.993
# Crystal system: orthorhombic
# Raw total energy, eV per atom: -5.127
# Raw formation energy, eV/atom: -1.7946



[2]
# PBE KSr2TlO, optimized geometry
data_KSr2TlO
_symmetry_space_group_name_H-M 'P 4/m m m'
_symmetry_Int_Tables_number 123
_symmetry_space_group_name_Hall '-P 4 2'
_cell_length_a 5.114
_cell_length_b 5.114
_cell_length_c 5.718
_cell_angle_alpha 90.00
_cell_angle_beta 90.00
_cell_angle_gamma 90.00
loop_
_atom_site_label
_atom_site_type_symbol
_atom_site_fract_x
_atom_site_fract_y
_atom_site_fract_z
K1 K 0.000 0.000 0.000
Sr1 Sr 0.000 0.500 0.500
Tl1 Tl 0.500 0.500 0.000
O1 O 0.000 0.000 0.500
# Crystal system: tetragonal
# Raw total energy, eV per atom: -3.424
# Raw formation energy, eV/atom: -1.0669



[3]
# PBE KSrTlO2, optimized geometry
data_KSrTlO2
_symmetry_space_group_name_H-M 'P 1 2/c 1'
_symmetry_Int_Tables_number 13
_cell_length_a 7.428
_cell_length_b 7.103
_cell_length_c 6.971
_cell_angle_alpha 90.00
_cell_angle_beta 108.26
_cell_angle_gamma 90.00
loop_
_symmetry_equiv_pos_as_xyz
'x,y,z'
'-x,-y,-z'
'-x,y,-z+1/2'
'x,-y,z+1/2'
loop_
_atom_site_label
_atom_site_type_symbol
_atom_site_fract_x
_atom_site_fract_y
_atom_site_fract_z
K1 K 0.000 0.246 0.250
Sr1 Sr 0.500 0.007 0.750
Tl1 Tl 0.500 0.500 0.000
O1 O 0.345 0.184 0.443
# Crystal system: monoclinic
# Raw total energy, eV per atom: -4.345
# Raw formation energy, eV/atom: -1.3327



Question: raw total energy of number 1 (KSr2TlO4)?
Answer: -5.127 eV per atom



Question: Number 2 is which compound?
Answer: KSr2TlO



Question: Which of these has the highest raw total energy?
Answer: KSr2TlO



What did the first record say?
# PBE KSr2TlO4, optimized geometry
data_KSr2TlO4
_symmetry_space_group_name_H-M 'I m m a'
_symmetry_Int_Tables_number 74
_symmetry_space_group_name_Hall '-I 2b 2'
_cell_length_a 7.374
_cell_length_b 7.494
_cell_length_c 10.063
_cell_angle_alpha 90.00
_cell_angle_beta 90.00
_cell_angle_gamma 90.00
loop_
_atom_site_label
_atom_site_type_symbol
_atom_site_fract_x
_atom_site_fract_y
_atom_site_fract_z
K1 K 0.250 0.250 0.250
Sr1 Sr 0.000 0.000 0.000
Sr2 Sr 0.250 0.250 0.750
Tl1 Tl 0.000 0.000 0.500
O1 O 0.000 0.019 0.717
O2 O 0.232 0.250 0.993
# Crystal system: orthorhombic
# Raw total energy, eV per atom: -5.127
# Raw formation energy, eV/atom: -1.7946